[1]
DFT (meta-GGA SCAN) results for a PBEsol-optimized structure of YZrAl.

Calculated values
Its total magnetic moment is 0.663 μB/atom. For the uncorrected energy, the calculation gives -21.528 eV/atom. As for the space group: F-43m (216).

a = 4.818 Å, b = 4.818 Å, c = 4.818 Å
α = 60.00°, β = 60.00°, γ = 60.00°
Element x y z (fractional)
Zr  0.250  0.250  0.250
Y  0.500  0.500  0.500
Al  0.000  0.000  0.000

***

[2]
DFT (meta-GGA SCAN) results for a PBEsol-optimized structure of Al5Zn.

Calculated values
Its total magnetic moment is 0.005 μB/atom. For the uncorrected energy, the calculation gives -8.678 eV/atom. As for the space group: Amm2 (38). The energy above the most stable polymorph in this dataset is 31 meV/atom.

a = 2.886 Å, b = 4.647 Å, c = 7.326 Å
α = 90.00°, β = 101.36°, γ = 90.00°
Element x y z (fractional)
Al  0.776  0.500  0.552
Al  0.333  0.000  0.666
Al  0.665  0.000  0.330
Al  0.001  0.000  0.001
Al  0.447  0.500  0.893
Zn  0.112  0.500  0.224

***

[3]
DFT (meta-GGA SCAN) results for a PBEsol-optimized structure of Al2Zn.

Calculated values
Its total magnetic moment is 0.000 μB/atom. For the uncorrected energy, the calculation gives -9.663 eV/atom. As for the space group: P-1 (2).

a = 2.799 Å, b = 4.803 Å, c = 7.953 Å
α = 112.63°, β = 90.32°, γ = 106.73°
Element x y z (fractional)
Al  0.361  0.722  0.722
Al  0.028  0.059  0.052
Al  0.694  0.386  0.393
Al  0.361  0.722  0.222
Zn  0.029  0.056  0.559
Zn  0.693  0.389  0.886

***

[4]
DFT (meta-GGA SCAN) results for a PBEsol-optimized structure of Al2Zn.

Calculated values
Its total magnetic moment is 0.000 μB/atom. For the uncorrected energy, the calculation gives -9.596 eV/atom. As for the space group: I4/mmm (139).

a = 3.447 Å, b = 3.447 Å, c = 4.742 Å
α = 111.31°, β = 111.31°, γ = 90.00°
Element x y z (fractional)
Zn  0.000  0.000  0.000
Al  0.666  0.666  0.331
Al  0.334  0.334  0.669

***

Number 1: calculated formation energy 0.570 eV per atom. Number 2: calculated formation energy 0.035 eV per atom. Number 3: calculated formation energy 0.010 eV per atom. Number 4: calculated formation energy 0.077 eV per atom.